Compound: TbSiRh4
Source: the Alexandria database
Functional: GGA-PBE
Structure: relaxed

The structure in POSCAR format:
```
TbSiRh4
1.0
-2.147 1.222 2.819
-2.463 -6.288 0.850
5.604 -1.529 4.932
Tb Si Rh
2 2 8
direct
0.000 0.632 0.750
0.000 0.368 0.250
0.000 0.205 0.750
0.000 0.795 0.250
0.000 0.000 0.500
0.000 0.000 0.000
0.500 0.945 0.750
0.500 0.055 0.250
0.500 0.695 0.060
0.500 0.305 0.940
0.500 0.695 0.440
0.500 0.305 0.560
```

## Properties
Density of states at the Fermi level (states/eV per cell): 13.96
Formation energy (no corrections) (meV per atom): -623

Compound: TbSi3Rh3
Source: the Alexandria database
Functional: GGA-PBE
Structure: relaxed

The structure in POSCAR format:
```
TbSi3Rh3
1.0
4.094 0.000 0.000
0.000 7.314 -4.175
0.000 -0.033 8.434
Tb Si Rh
2 6 6
direct
0.750 0.334 0.667
0.250 0.666 0.333
0.750 0.945 0.375
0.750 0.430 0.055
0.750 0.625 0.570
0.250 0.055 0.625
0.250 0.570 0.945
0.250 0.375 0.430
0.750 0.722 0.067
0.750 0.344 0.279
0.750 0.934 0.656
0.250 0.278 0.933
0.250 0.656 0.721
0.250 0.066 0.344
```

## Properties
Energy relative to the lowest polymorph listed for this composition (eV/atom): 0.0000
Density of states at the Fermi level (states/eV per cell): 4.68
Formation energy (no corrections) (meV per atom): -749

Compound: TbSiRh3
Source: the Alexandria database
Functional: GGA-PBE
Structure: relaxed

The structure in POSCAR format:
```
TbSiRh3
1.0
4.464 0.000 0.000
0.000 4.464 0.000
0.000 0.000 4.464
Rh Si Tb
3 1 1
direct
0.000 0.500 0.000
0.000 0.000 0.500
0.500 0.000 0.000
0.000 0.000 0.000
0.500 0.500 0.500
```

## Properties
Energy relative to the lowest polymorph listed for this composition (eV/atom): 0.1081
Density of states at the Fermi level (states/eV per cell): 0.35
Formation energy (no corrections) (meV per atom): -677

Compound: Tb2SiRh6
Source: the Alexandria database
Functional: GGA-PBE
Structure: relaxed

The structure in POSCAR format:
```
Tb2SiRh6
1.0
5.185 0.003 2.993
1.727 4.889 2.993
0.002 0.001 5.986
Tb Si Rh
2 1 6
direct
0.250 0.250 0.250
0.750 0.750 0.750
0.500 0.500 0.500
0.229 0.229 0.770
0.229 0.770 0.229
0.771 0.230 0.771
0.770 0.229 0.229
0.230 0.771 0.771
0.771 0.771 0.230
```

## Properties
Density of states at the Fermi level (states/eV per cell): 10.13
Formation energy (no corrections) (meV per atom): -759

Compound: Tb2Si7Rh12
Source: the Alexandria database
Functional: GGA-PBE
Structure: relaxed

The structure in POSCAR format:
```
Tb2Si7Rh12
1.0
-3.724 1.005 -0.066
-0.205 -1.389 -9.637
-2.091 -7.359 6.026
Tb Si Rh
2 7 12
direct
0.250 0.333 0.667
0.750 0.667 0.333
0.500 0.000 0.000
0.249 0.889 0.290
0.249 0.400 0.111
0.249 0.710 0.600
0.751 0.111 0.710
0.751 0.600 0.889
0.751 0.290 0.400
0.248 0.619 0.063
0.248 0.444 0.381
0.248 0.937 0.556
0.752 0.381 0.937
0.752 0.556 0.619
0.752 0.063 0.444
0.255 0.119 0.262
0.255 0.143 0.881
0.255 0.738 0.857
0.745 0.881 0.738
0.745 0.857 0.119
0.745 0.262 0.143
```

## Properties
Density of states at the Fermi level (states/eV per cell): 9.20
Formation energy (no corrections) (meV per atom): -969

Compound: Tb3Si4Rh7
Source: the Alexandria database
Functional: GGA-PBE
Structure: relaxed

The structure in POSCAR format:
```
Tb3Si4Rh7
1.0
3.892 0.000 0.982
1.414 7.292 2.598
0.013 0.066 8.152
Tb Si Rh
3 4 7
direct
0.330 0.174 0.165
0.670 0.826 0.835
0.000 0.500 0.500
0.666 0.449 0.219
0.334 0.551 0.781
0.887 0.890 0.336
0.113 0.110 0.664
0.304 0.844 0.548
0.496 0.238 0.770
0.836 0.406 0.922
0.696 0.156 0.452
0.164 0.594 0.078
0.000 0.000 0.000
0.504 0.762 0.230
```

## Properties
Density of states at the Fermi level (states/eV per cell): 5.36
Formation energy (no corrections) (meV per atom): -1022